[1]
Material: Pm2SmAs
Method: DFT, PBE
State: optimized geometry

* calculated volume: 130.13 Å³/f.u.
* ΔE to the lowest computed polymorph: 0.0175 eV per atom
* energy of formation from the pure elements: -592 meV/atom
* size of the total moment: 0.0 μB/f.u.

The structure in CIF format:
```
data_Pm2SmAs
_symmetry_space_group_name_H-M 'R -3 m'
_symmetry_Int_Tables_number 166
_symmetry_space_group_name_Hall '-R 3 2"'
_cell_length_a 3.9534
_cell_length_b 3.9534
_cell_length_c 28.8419
_cell_angle_alpha 90.00
_cell_angle_beta 90.00
_cell_angle_gamma 120.00
loop_
_atom_site_label
_atom_site_fract_x
_atom_site_fract_y
_atom_site_fract_z
_atom_site_occupancy
Pm1 0.0000 0.0000 0.2285 1
Sm1 0.0000 0.0000 0.0000 1
As1 0.0000 0.0000 0.5000 1
```



[2]
Material: HfIn2Ni
Method: DFT, PBE
State: optimized geometry

* calculated volume: 76.90 Å³/f.u.
* energy of formation from the pure elements: 108 meV/atom
* size of the total moment: 0.0 μB/f.u.

The structure in CIF format:
```
data_HfIn2Ni
_symmetry_space_group_name_H-M 'F m -3 m'
_symmetry_Int_Tables_number 225
_symmetry_space_group_name_Hall '-F 4 2 3'
_cell_length_a 6.750
_cell_length_b 6.750
_cell_length_c 6.750
_cell_angle_alpha 90.00
_cell_angle_beta 90.00
_cell_angle_gamma 90.00
loop_
_atom_site_label
_atom_site_fract_x
_atom_site_fract_y
_atom_site_fract_z
_atom_site_occupancy
Hf1 0.000 0.000 0.000 1
In1 0.250 0.250 0.250 1
Ni1 0.000 0.000 0.500 1
```



[3]
Material: Np2S3F
Method: DFT, PBE
State: optimized geometry

* calculated volume: 127.48 Å³/f.u.
* formation energy from raw total energies: -1772 meV per atom
* size of the total moment: 7.0 μB/f.u.

The structure in CIF format:
```
data_Np2S3F
_symmetry_space_group_name_H-M 'R -3 c'
_symmetry_Int_Tables_number 167
_symmetry_space_group_name_Hall '-R 3 2"c'
_cell_length_a 7.2981
_cell_length_b 7.2981
_cell_length_c 16.5821
_cell_angle_alpha 90.00
_cell_angle_beta 90.00
_cell_angle_gamma 120.00
loop_
_atom_site_label
_atom_site_fract_x
_atom_site_fract_y
_atom_site_fract_z
_atom_site_occupancy
Np1 0.0000 0.0000 0.1359 1
S1 0.0000 0.2786 0.2500 1
F1 0.0000 0.0000 0.0000 1
```



[4]
Material: TaPbBr2
Method: DFT, PBE
State: optimized geometry

* calculated volume: 115.23 Å³/f.u.
* ΔE to the lowest computed polymorph: 0.0000 eV per atom
* formation energy from raw total energies: -182 meV per atom
* size of the total moment: 0.0 μB/f.u.

The structure in CIF format:
```
data_TaPbBr2
_symmetry_space_group_name_H-M 'R -3 m'
_symmetry_Int_Tables_number 166
_symmetry_space_group_name_Hall '-R 3 2"'
_cell_length_a 3.3164
_cell_length_b 3.3164
_cell_length_c 36.2946
_cell_angle_alpha 90.00
_cell_angle_beta 90.00
_cell_angle_gamma 120.00
loop_
_atom_site_label
_atom_site_fract_x
_atom_site_fract_y
_atom_site_fract_z
_atom_site_occupancy
Ta1 0.0000 0.0000 0.0000 1
Pb1 0.0000 0.0000 0.5000 1
Br1 0.0000 0.0000 0.2812 1
```



[5]
Material: SrIr2PbO8
Method: DFT, PBE
State: optimized geometry

* calculated volume: 185.70 Å³/f.u.
* formation energy from raw total energies: -619 meV per atom
* size of the total moment: 0.0 μB/f.u.

The structure in CIF format:
```
data_SrIr2PbO8
_symmetry_space_group_name_H-M 'P -3'
_symmetry_Int_Tables_number 147
_cell_length_a 5.7614
_cell_length_b 5.7614
_cell_length_c 6.4600
_cell_angle_alpha 90.00
_cell_angle_beta 90.00
_cell_angle_gamma 120.00
loop_
_symmetry_equiv_pos_as_xyz
'x,y,z'
'-x,-y,-z'
'-y,x-y,z'
'y,-x+y,-z'
'-x+y,-x,z'
'x-y,x,-z'
loop_
_atom_site_label
_atom_site_fract_x
_atom_site_fract_y
_atom_site_fract_z
_atom_site_occupancy
Sr1 0.0000 0.0000 0.0000 1
Ir1 0.3333 0.6667 0.9526 1
Pb1 0.0000 0.0000 0.5000 1
O1 0.0613 0.4040 0.1440 1
O2 0.3333 0.6667 0.6675 1
```



[6]
Material: ScPtC2
Method: DFT, PBE
State: optimized geometry

* calculated volume: 57.52 Å³/f.u.
* ΔE to the lowest computed polymorph: 0.0000 eV per atom
* energy of formation from the pure elements: 481 meV/atom
* size of the total moment: 0.0 μB/f.u.

The structure in CIF format:
```
data_ScPtC2
_symmetry_space_group_name_H-M 'I -4 2 d'
_symmetry_Int_Tables_number 122
_symmetry_space_group_name_Hall 'I -4 2bw'
_cell_length_a 4.714
_cell_length_b 4.714
_cell_length_c 10.353
_cell_angle_alpha 90.00
_cell_angle_beta 90.00
_cell_angle_gamma 90.00
loop_
_atom_site_label
_atom_site_fract_x
_atom_site_fract_y
_atom_site_fract_z
_atom_site_occupancy
Sc1 0.000 0.000 0.000 1
Pt1 0.000 0.000 0.500 1
C1 0.205 0.250 0.625 1
```



[7]
Material: Dy2InTe6Pb3
Method: DFT, PBE
State: optimized geometry

* calculated volume: 406.43 Å³/f.u.
* formation energy from raw total energies: -688 meV per atom
* size of the total moment: 0.0 μB/f.u.

The structure in CIF format:
```
data_Dy2InTe6Pb3
_symmetry_space_group_name_H-M 'C 1 2/m 1'
_symmetry_Int_Tables_number 12
_cell_length_a 19.843
_cell_length_b 4.468
_cell_length_c 9.426
_cell_angle_alpha 90.00
_cell_angle_beta 103.46
_cell_angle_gamma 90.00
loop_
_symmetry_equiv_pos_as_xyz
'x,y,z'
'-x,-y,-z'
'-x,y,-z'
'x,-y,z'
'x+1/2,y+1/2,z'
'-x+1/2,-y+1/2,-z'
'-x+1/2,y+1/2,-z'
'x+1/2,-y+1/2,z'
loop_
_atom_site_label
_atom_site_fract_x
_atom_site_fract_y
_atom_site_fract_z
_atom_site_occupancy
Dy1 0.168 0.000 0.345 1
In1 0.000 0.500 0.000 1
Te1 0.010 0.000 0.258 1
Te2 0.170 0.500 0.579 1
Te3 0.173 0.500 0.113 1
Pb1 0.000 0.500 0.500 1
Pb2 0.159 0.000 0.846 1
```



[8]
Material: PaZnP
Method: DFT, PBE
State: optimized geometry

* calculated volume: 71.59 Å³/f.u.
* energy of formation from the pure elements: -294 meV/atom
* size of the total moment: 0.0 μB/f.u.

The structure in CIF format:
```
data_PaZnP
_symmetry_space_group_name_H-M 'R -3 m'
_symmetry_Int_Tables_number 166
_symmetry_space_group_name_Hall '-R 3 2"'
_cell_length_a 4.5936
_cell_length_b 4.5936
_cell_length_c 23.5056
_cell_angle_alpha 90.00
_cell_angle_beta 90.00
_cell_angle_gamma 120.00
loop_
_atom_site_label
_atom_site_fract_x
_atom_site_fract_y
_atom_site_fract_z
_atom_site_occupancy
Pa1 0.0000 0.0000 0.2350 1
Zn1 0.0000 0.0000 0.3618 1
P1 0.0000 0.0000 0.1190 1
```



[9]
Material: ScMn2Ga2
Method: DFT, PBE
State: optimized geometry

* calculated volume: 79.61 Å³/f.u.
* ΔE to the lowest computed polymorph: 0.1446 eV per atom
* energy of formation from the pure elements: -63 meV/atom
* size of the total moment: 1.7 μB/f.u.

The structure in CIF format:
```
data_ScMn2Ga2
_symmetry_space_group_name_H-M 'I 4/m m m'
_symmetry_Int_Tables_number 139
_symmetry_space_group_name_Hall '-I 4 2'
_cell_length_a 4.096
_cell_length_b 4.096
_cell_length_c 9.491
_cell_angle_alpha 90.00
_cell_angle_beta 90.00
_cell_angle_gamma 90.00
loop_
_atom_site_label
_atom_site_fract_x
_atom_site_fract_y
_atom_site_fract_z
_atom_site_occupancy
Sc1 0.000 0.000 0.000 1
Mn1 0.000 0.000 0.398 1
Ga1 0.000 0.500 0.250 1
```



[10]
Material: Pr3Co8Sn4
Method: DFT, PBE
State: optimized geometry

* calculated volume: 270.64 Å³/f.u.
* energy of formation from the pure elements: -273 meV/atom
* size of the total moment: 7.8 μB/f.u.

The structure in CIF format:
```
data_Pr3Co8Sn4
_symmetry_space_group_name_H-M 'P 63 m c'
_symmetry_Int_Tables_number 186
_symmetry_space_group_name_Hall 'P 6c -2c'
_cell_length_a 9.0642
_cell_length_b 9.0642
_cell_length_c 7.6072
_cell_angle_alpha 90.00
_cell_angle_beta 90.00
_cell_angle_gamma 120.00
loop_
_atom_site_label
_atom_site_fract_x
_atom_site_fract_y
_atom_site_fract_z
_atom_site_occupancy
Pr1 0.0571 0.5285 0.0000 1
Co1 0.0000 0.0000 0.2241 1
Co2 0.0943 0.1885 0.9770 1
Co3 0.1552 0.3104 0.6705 1
Co4 0.3333 0.6667 0.2979 1
Sn1 0.1697 0.3393 0.2965 1
Sn2 0.3333 0.6667 0.6636 1
```



[11]
Material: SrRe2P
Method: DFT, PBE
State: optimized geometry

* calculated volume: 71.06 Å³/f.u.
* energy of formation from the pure elements: 729 meV/atom
* size of the total moment: 0.0 μB/f.u.

The structure in CIF format:
```
data_SrRe2P
_symmetry_space_group_name_H-M 'C m m m'
_symmetry_Int_Tables_number 65
_symmetry_space_group_name_Hall '-C 2 2'
_cell_length_a 3.244
_cell_length_b 5.012
_cell_length_c 8.742
_cell_angle_alpha 90.00
_cell_angle_beta 90.00
_cell_angle_gamma 90.00
loop_
_atom_site_label
_atom_site_fract_x
_atom_site_fract_y
_atom_site_fract_z
_atom_site_occupancy
Sr1 0.000 0.000 0.000 1
Re1 0.000 0.500 0.308 1
P1 0.000 0.000 0.500 1
```